[1]
DFT (PBE) results for crystalline K2YHfIn at its relaxed geometry.

Cell: 6.131 6.131 5.708 Å, 90.00 90.00 90.00°
Space group P4/mmm (No. 123)
Asymmetric unit:
K (0.000, 0.500, 0.000)
Y (0.000, 0.000, 0.500)
Hf (0.500, 0.500, 0.500)
In (0.500, 0.500, 0.000)

Values from the calculation:
**ΔH_f (0 K)**: 1.06 eV/atom

[2]
DFT (PBE) results for crystalline KYHfIn2 at its relaxed geometry.

Cell: 5.431 5.431 5.239 Å, 90.00 90.00 90.00°
Space group P4/mmm (No. 123)
Asymmetric unit:
K (0.000, 0.000, 0.000)
Y (0.000, 0.000, 0.500)
Hf (0.500, 0.500, 0.500)
In (0.000, 0.500, 0.000)

Values from the calculation:
**ΔH_f (0 K)**: 1.45 eV/atom

[3]
DFT (PBE) results for crystalline KYHf2In at its relaxed geometry.

Cell: 5.073 5.073 5.161 Å, 90.00 90.00 90.00°
Space group P4/mmm (No. 123)
Asymmetric unit:
K (0.000, 0.000, 0.000)
Y (0.000, 0.000, 0.500)
Hf (0.000, 0.500, 0.000)
In (0.500, 0.500, 0.500)

Values from the calculation:
**ΔH_f (0 K)**: 1.73 eV/atom

[4]
DFT (PBE) results for crystalline La2HfIn2 at its relaxed geometry.

Cell: 7.895 7.895 4.843 Å, 90.00 90.00 90.00°
Space group P4/mbm (No. 127)
Asymmetric unit:
La (0.172, 0.328, 0.000)
Hf (0.000, 0.000, 0.500)
In (0.133, 0.633, 0.500)

Values from the calculation:
**ΔH_f (0 K)**: -0.19 eV/atom

[5]
DFT (PBE) results for crystalline LaHf3In at its relaxed geometry.

Cell: 5.345 5.345 5.345 Å, 90.00 90.00 90.00°
Space group Pm-3m (No. 221)
Asymmetric unit:
La (0.000, 0.000, 0.000)
Hf (0.000, 0.500, 0.500)
In (0.500, 0.500, 0.500)

Values from the calculation:
**ΔH_f (0 K)**: 0.97 eV/atom
**Relative energy among the computed polymorphs**: 0.0000 eV per atom

[6]
DFT (PBE) results for crystalline LaHf3In at its relaxed geometry.

Cell: 5.161 5.161 5.161 Å, 90.00 90.00 90.00°
Space group Pm-3m (No. 221)
Asymmetric unit:
La (0.000, 0.000, 0.000)
Hf (0.000, 0.000, 0.500)
In (0.500, 0.500, 0.500)

Values from the calculation:
**ΔH_f (0 K)**: 1.42 eV/atom
**Relative energy among the computed polymorphs**: 0.4471 eV per atom

[7]
DFT (PBE) results for crystalline LaHfIn2 at its relaxed geometry.

Cell: 3.311 3.311 9.194 Å, 90.00 90.00 90.00°
Space group P4/mmm (No. 123)
Asymmetric unit:
La (0.000, 0.000, 0.000)
Hf (0.000, 0.000, 0.500)
In (0.500, 0.500, 0.274)

Values from the calculation:
**ΔH_f (0 K)**: -0.28 eV/atom

[8]
DFT (PBE) results for crystalline La2HfIn at its relaxed geometry.

Cell: 3.3018 3.3018 36.3196 Å, 90.00 90.00 120.00°
Space group R-3m (No. 166, hexagonal axes)
Asymmetric unit:
La (0.0000, 0.0000, 0.0861)
Hf (0.0000, 0.0000, 0.0000)
In (0.0000, 0.0000, 0.5000)

Values from the calculation:
**ΔH_f (0 K)**: 0.23 eV/atom

[9]
DFT (PBE) results for crystalline LaHfIn3 at its relaxed geometry.

Cell: 5.436 5.436 5.436 Å, 90.00 90.00 90.00°
Space group Pm-3m (No. 221)
Asymmetric unit:
La (0.000, 0.000, 0.000)
Hf (0.500, 0.500, 0.500)
In (0.000, 0.500, 0.500)

Values from the calculation:
**ΔH_f (0 K)**: 0.13 eV/atom
**Relative energy among the computed polymorphs**: 0.0000 eV per atom

[10]
DFT (PBE) results for crystalline LaHfIn2 at its relaxed geometry.

Cell: 4.888 4.888 20.684 Å, 90.00 90.00 90.00°
Space group I-42d (No. 122)
Asymmetric unit:
La (0.000, 0.000, 0.000)
Hf (0.000, 0.000, 0.500)
In (0.173, 0.250, 0.625)

Values from the calculation:
**ΔH_f (0 K)**: 0.29 eV/atom

[11]
DFT (PBE) results for crystalline La2HfIn at its relaxed geometry.

Cell: 4.456 4.456 23.407 Å, 90.00 90.00 90.00°
Space group I-42d (No. 122)
Asymmetric unit:
La (0.240, 0.250, 0.125)
Hf (0.000, 0.000, 0.000)
In (0.000, 0.000, 0.500)

Values from the calculation:
**ΔH_f (0 K)**: 0.34 eV/atom

[12]
DFT (PBE) results for crystalline La2HfIn at its relaxed geometry.

Cell: 4.787 4.787 4.950 Å, 90.00 90.00 90.00°
Space group P4/mmm (No. 123)
Asymmetric unit:
La (0.000, 0.500, 0.000)
Hf (0.000, 0.000, 0.500)
In (0.500, 0.500, 0.500)

Values from the calculation:
**ΔH_f (0 K)**: -0.08 eV/atom